A plane-wave DFT calculation with GGA-PBE was carried out for a relaxed structure of CuSbBr.

Lattice parameters (Å, degrees): 6.2376 6.2376 6.2376 146.83 142.71 50.76
With the nearest neighbours (Å) after each atom.
Sites, in units of the cell vectors:
Br 0.9982 0.9982 0.0000  1 Cu 2.60, 1 Sb 2.66
Cu 0.7676 0.7676 0.0000  1 Br 2.60, 4 Sb 2.70
Sb 0.2342 0.2342 0.0000  1 Br 2.66, 4 Cu 2.70

Summary:
- Energy relative to the lowest polymorph listed for this composition: 0.007 eV per atom
- D(E_F): 1.23 states/eV/f.u.
- Calculated volume: 80.05 Å³/cell
- Final energy: -9.9 eV per cell


A plane-wave DFT calculation with GGA-PBE was carried out for a relaxed structure of Cu2SbBr.

Lattice parameters (Å, degrees): 8.9991 8.9991 8.9991 156.64 156.64 33.27
With the nearest neighbours (Å) after each atom.
Sites, in units of the cell vectors:
Br 0.7500 0.2500 0.5000  4 Cu 2.58
Cu 0.0000 0.0000 0.0000  4 Sb 2.58
Cu 0.2500 0.7500 0.5000  4 Br 2.58
Sb 0.5000 0.5000 0.0000  4 Cu 2.58

Summary:
- Energy relative to the lowest polymorph listed for this composition: 0.375 eV per atom
- D(E_F): 2.11 states/eV/f.u.
- Calculated volume: 114.46 Å³/cell
- Final energy: -12.7 eV per cell


A plane-wave DFT calculation with GGA-PBE was carried out for a relaxed structure of Cu2SbBr.

Lattice parameters (Å, degrees): 3.6155 3.6143 7.2369 89.94 90.00 90.00
With the nearest neighbours (Å) after each atom.
Sites, in units of the cell vectors:
Br 0.5000 0.8762 0.8652  4 Cu 2.59
Cu 0.0000 0.8746 0.1219  4 Cu 2.56, 2 Br 2.59, 2 Sb 2.66
Cu 0.5000 0.3748 0.1220  4 Cu 2.56, 2 Br 2.59, 2 Sb 2.66
Sb 0.0000 0.3744 0.3909  4 Cu 2.66

Summary:
- Energy relative to the lowest polymorph listed for this composition: 0.000 eV per atom
- D(E_F): 0.99 states/eV/f.u.
- Calculated volume: 94.57 Å³/cell
- Final energy: -14.2 eV per cell


A plane-wave DFT calculation with GGA-PBE was carried out for a relaxed structure of Cu2SbBr.

Lattice parameters (Å, degrees): 6.1112 6.1112 6.8193 63.38 63.38 90.00
With the nearest neighbours (Å) after each atom.
Sites, in units of the cell vectors:
Sb 0.0000 0.0000 0.0000  4 Cu 2.53
Sb 0.7500 0.2500 0.5000  4 Cu 2.53
Cu 0.6249 0.1250 0.2500  2 Br 2.53, 2 Sb 2.53
Cu 0.1251 0.6250 0.2500  2 Br 2.53, 2 Sb 2.53
Cu 0.3750 0.3751 0.7500  2 Br 2.53, 2 Sb 2.53
Cu 0.8750 0.8749 0.7500  2 Br 2.53, 2 Sb 2.53
Br 0.5000 0.5000 0.0000  4 Cu 2.53
Br 0.2500 0.7500 0.5000  4 Cu 2.53

Summary:
- Energy relative to the lowest polymorph listed for this composition: 0.142 eV per atom
- D(E_F): 0.82 states/eV/f.u.
- Calculated volume: 197.02 Å³/cell
- Final energy: -27.2 eV per cell


A plane-wave DFT calculation with GGA-PBE was carried out for a relaxed structure of Cu2SbBr.

Lattice parameters (Å, degrees): 4.8526 4.8526 4.8526 60.00 60.00 60.00
With the nearest neighbours (Å) after each atom.
Sites, in units of the cell vectors:
Br 0.5000 0.5000 0.5000  4 Sb 2.97, 4 Cu 2.97
Cu 0.0000 0.0000 0.0000  4 Sb 2.97, 4 Cu 2.97
Cu 0.2500 0.2500 0.2500  4 Br 2.97, 4 Cu 2.97
Sb 0.7500 0.7500 0.7500  4 Br 2.97, 4 Cu 2.97

Summary:
- Energy relative to the lowest polymorph listed for this composition: 0.701 eV per atom
- D(E_F): 3.12 states/eV/f.u.
- Calculated volume: 80.80 Å³/cell
- Final energy: -11.4 eV per cell


A plane-wave DFT calculation with GGA-PBE was carried out for a relaxed structure of CuSbBr2.

Lattice parameters (Å, degrees): 9.2631 9.2631 9.2631 24.08 24.08 24.08
With the nearest neighbours (Å) after each atom.
Sites, in units of the cell vectors:
Br 0.0283 0.0283 0.0283  3 Sb 2.98
Br 0.2095 0.2095 0.2095  3 Cu 2.59
Cu 0.4939 0.4939 0.4939  3 Br 2.59, 3 Sb 2.74
Sb 0.7683 0.7683 0.7683  3 Cu 2.74, 3 Br 2.98

Summary:
- Energy relative to the lowest polymorph listed for this composition: 0.025 eV per atom
- D(E_F): 0.07 states/eV/f.u.
- Calculated volume: 116.24 Å³/cell
- Final energy: -12.4 eV per cell


A plane-wave DFT calculation with GGA-PBE was carried out for a relaxed structure of Cu2SbBr.

Lattice parameters (Å, degrees): 4.7955 4.7955 4.7955 60.00 60.00 60.00
With the nearest neighbours (Å) after each atom.
Sites, in units of the cell vectors:
Sb 0.5000 0.5000 0.5000  8 Cu 2.94
Cu 0.2500 0.2500 0.2500  4 Sb 2.94, 4 Br 2.94
Cu 0.7500 0.7500 0.7500  4 Sb 2.94, 4 Br 2.94
Br 0.0000 0.0000 0.0000  8 Cu 2.94

Summary:
- Energy relative to the lowest polymorph listed for this composition: 0.647 eV per atom
- D(E_F): 8.03 states/eV/f.u.
- Calculated volume: 77.98 Å³/cell
- Final energy: -11.6 eV per cell


A plane-wave DFT calculation with GGA-PBE was carried out for a relaxed structure of Cu2SbBr.

Lattice parameters (Å, degrees): 3.3839 3.7183 6.6539 90.03 90.00 90.00
With the nearest neighbours (Å) after each atom.
Sites, in units of the cell vectors:
Br 0.5000 0.7500 0.7500  4 Cu 2.65
Cu 0.0000 0.7500 0.0561  1 Cu 2.58, 2 Br 2.65, 4 Sb 2.83
Cu 0.0000 0.7500 0.4439  1 Cu 2.58, 2 Br 2.65, 4 Sb 2.83
Sb 0.5000 0.2500 0.2500  8 Cu 2.83

Summary:
- Energy relative to the lowest polymorph listed for this composition: 0.134 eV per atom
- D(E_F): 1.76 states/eV/f.u.
- Calculated volume: 83.72 Å³/cell
- Final energy: -13.7 eV per cell


A plane-wave DFT calculation with GGA-PBE was carried out for a relaxed structure of Cu2SbBr.

Lattice parameters (Å, degrees): 3.2901 3.2901 7.2008 90.00 90.00 90.00
With the nearest neighbours (Å) after each atom.
Sites, in units of the cell vectors:
Br 0.5000 0.5000 0.7500  8 Cu 3.00, 4 Br 3.29
Cu 0.0000 0.0000 0.0131  4 Sb 2.88, 4 Br 3.00
Cu 0.0000 0.0000 0.4869  4 Sb 2.88, 4 Br 3.00
Sb 0.5000 0.5000 0.2500  8 Cu 2.88

Summary:
- Energy relative to the lowest polymorph listed for this composition: 0.339 eV per atom
- D(E_F): 2.03 states/eV/f.u.
- Calculated volume: 77.95 Å³/cell
- Final energy: -12.8 eV per cell


A plane-wave DFT calculation with GGA-PBE was carried out for a relaxed structure of Cu2SbBr.

Lattice parameters (Å, degrees): 3.6155 3.6155 7.3068 75.69 75.69 60.12
With the nearest neighbours (Å) after each atom.
Sites, in units of the cell vectors:
Br 0.2500 0.2500 0.2500  6 Cu 2.75-2.76
Cu 0.0025 0.0025 0.9935  3 Sb 2.70, 3 Br 2.75-2.76
Cu 0.4975 0.4975 0.5065  3 Sb 2.70, 3 Br 2.75-2.76
Sb 0.7500 0.7500 0.7500  6 Cu 2.70

Summary:
- Energy relative to the lowest polymorph listed for this composition: 0.094 eV per atom
- D(E_F): 1.67 states/eV/f.u.
- Calculated volume: 79.37 Å³/cell
- Final energy: -13.8 eV per cell


A plane-wave DFT calculation with GGA-PBE was carried out for a relaxed structure of CuSbBr2.

Lattice parameters (Å, degrees): 3.6762 3.6762 8.8421 90.00 90.00 122.77
With the nearest neighbours (Å) after each atom.
Sites, in units of the cell vectors:
Br 0.0000 0.0000 0.0530  2 Cu 2.48
Br 0.0000 0.0000 0.4470  2 Cu 2.48
Cu 0.5000 0.5000 0.2500  4 Br 2.48
Sb 0.5000 0.5000 0.7500  4 Br 3.21, 2 Sb 3.52

Summary:
- Energy relative to the lowest polymorph listed for this composition: 0.256 eV per atom
- D(E_F): 2.19 states/eV/f.u.
- Calculated volume: 100.48 Å³/cell
- Final energy: -11.5 eV per cell


A plane-wave DFT calculation with GGA-PBE was carried out for a relaxed structure of CuSbBr2.

Lattice parameters (Å, degrees): 3.7446 3.7446 9.1861 90.00 90.00 119.49
With the nearest neighbours (Å) after each atom.
Sites, in units of the cell vectors:
Br 0.0000 0.0000 0.9458  2 Sb 2.92
Br 0.5000 0.5000 0.3460  2 Cu 2.39
Cu 0.0000 0.0000 0.5056  2 Br 2.39, 2 Sb 2.61
Sb 0.5000 0.5000 0.7026  2 Cu 2.61, 2 Br 2.92

Summary:
- Energy relative to the lowest polymorph listed for this composition: 0.125 eV per atom
- D(E_F): 0.73 states/eV/f.u.
- Calculated volume: 112.12 Å³/cell
- Final energy: -12.0 eV per cell


A plane-wave DFT calculation with GGA-PBE was carried out for a relaxed structure of Cu2SbBr.

Lattice parameters (Å, degrees): 3.5716 3.5716 7.7387 90.00 90.00 120.56
With the nearest neighbours (Å) after each atom.
Sites, in units of the cell vectors:
Br 0.5000 0.5000 0.7500  4 Cu 2.61
Cu 0.0000 0.0000 0.9983  2 Br 2.61, 2 Sb 2.63
Cu 0.0000 0.0000 0.5017  2 Br 2.61, 2 Sb 2.63
Sb 0.5000 0.5000 0.2500  4 Cu 2.63

Summary:
- Energy relative to the lowest polymorph listed for this composition: 0.235 eV per atom
- D(E_F): 1.63 states/eV/f.u.
- Calculated volume: 85.00 Å³/cell
- Final energy: -13.3 eV per cell


A plane-wave DFT calculation with GGA-PBE was carried out for a relaxed structure of Cu2SbBr.

Lattice parameters (Å, degrees): 3.0776 5.0311 5.0311 90.00 90.00 90.00
With the nearest neighbours (Å) after each atom.
Sites, in units of the cell vectors:
Br 0.5000 0.0000 0.5000  8 Cu 2.95, 2 Br 3.08
Cu 0.0000 0.0000 0.0000  4 Br 2.95, 4 Sb 2.95, 2 Cu 3.08
Cu 0.0000 0.5000 0.5000  4 Sb 2.95, 4 Br 2.95, 2 Cu 3.08
Sb 0.5000 0.5000 0.0000  8 Cu 2.95, 2 Sb 3.08

Summary:
- Energy relative to the lowest polymorph listed for this composition: 0.456 eV per atom
- D(E_F): 2.98 states/eV/f.u.
- Calculated volume: 77.90 Å³/cell
- Final energy: -12.4 eV per cell


A plane-wave DFT calculation with GGA-PBE was carried out for a relaxed structure of CuSbBr2.

Lattice parameters (Å, degrees): 5.9106 5.9106 5.9106 146.65 109.00 80.74
With the nearest neighbours (Å) after each atom.
Sites, in units of the cell vectors:
Br 0.9522 0.9522 0.0000  2 Cu 2.49
Br 0.5478 0.5478 0.0000  2 Cu 2.49
Cu 0.7500 0.2500 0.5000  4 Br 2.49
Sb 0.2500 0.7500 0.5000  4 Br 3.17, 2 Sb 3.39

Summary:
- Energy relative to the lowest polymorph listed for this composition: 0.361 eV per atom
- D(E_F): 2.88 states/eV/f.u.
- Calculated volume: 104.84 Å³/cell
- Final energy: -11.1 eV per cell